[1]
Compound: MnZnAu2
Source: Alexandria via LeMat-Bulk
Functional: PBE-GGA
Structure: optimized geometry

Output
The calculation puts the volume at 264 Å³ per cell. The calculated formation energy is -37 meV per atom.

```
data_MnZnAu2
_chemical_formula_sum 'Mn4 Zn4 Au8'
_space_group_name_H-M_alt 'F -4 3 m'
_space_group_IT_number 216
_space_group_name_Hall 'F -4 2 3'
_cell_length_a 6.414
_cell_length_b 6.414
_cell_length_c 6.414
_cell_angle_alpha 90.00
_cell_angle_beta 90.00
_cell_angle_gamma 90.00
loop_
_atom_site_label
_atom_site_type_symbol
_atom_site_fract_x
_atom_site_fract_y
_atom_site_fract_z
Mn1 Mn 0.000 0.000 0.000
Zn1 Zn 0.250 0.250 0.750
Au1 Au 0.000 0.000 0.500
Au2 Au 0.250 0.250 0.250
```

[2]
Compound: Sc2NbHg
Source: Alexandria via LeMat-Bulk
Functional: PBE-GGA
Structure: optimized geometry

Output
The calculation puts the volume at 84 Å³ per cell. The calculated formation energy is -139 meV per atom.

```
data_Sc2NbHg
_chemical_formula_sum 'Sc2 Nb1 Hg1'
_space_group_name_H-M_alt 'P 4/m m m'
_space_group_IT_number 123
_space_group_name_Hall '-P 4 2'
_cell_length_a 3.179
_cell_length_b 3.179
_cell_length_c 8.340
_cell_angle_alpha 90.00
_cell_angle_beta 90.00
_cell_angle_gamma 90.00
loop_
_atom_site_label
_atom_site_type_symbol
_atom_site_fract_x
_atom_site_fract_y
_atom_site_fract_z
Sc1 Sc 0.000 0.000 0.245
Nb1 Nb 0.500 0.500 0.000
Hg1 Hg 0.500 0.500 0.500
```

[3]
Compound: Dy3Pu2PaP6
Source: Alexandria via LeMat-Bulk
Functional: PBE-GGA
Structure: optimized geometry

Output
The calculation puts the volume at 541 Å³ per cell. The calculated formation energy is -1424 meV per atom.

```
data_Dy3Pu2PaP6
_chemical_formula_sum 'Dy6 Pu4 Pa2 P12'
_space_group_name_H-M_alt 'C 1 2/m 1'
_space_group_IT_number 12
_cell_length_a 6.927
_cell_length_b 12.000
_cell_length_c 6.906
_cell_angle_alpha 90.00
_cell_angle_beta 109.54
_cell_angle_gamma 90.00
loop_
_space_group_symop_operation_xyz
'x,y,z'
'-x,-y,-z'
'-x,y,-z'
'x,-y,z'
'x+1/2,y+1/2,z'
'-x+1/2,-y+1/2,-z'
'-x+1/2,y+1/2,-z'
'x+1/2,-y+1/2,z'
loop_
_atom_site_label
_atom_site_type_symbol
_atom_site_fract_x
_atom_site_fract_y
_atom_site_fract_z
Dy1 Dy 0.000 0.000 0.000
Dy2 Dy 0.000 0.332 0.000
Pu1 Pu 0.000 0.166 0.500
Pa1 Pa 0.000 0.500 0.500
P1 P 0.247 0.335 0.746
P2 P 0.248 0.500 0.254
```

[4]
Compound: CuAuS3
Source: Alexandria via LeMat-Bulk
Functional: PBE-GGA
Structure: optimized geometry

Output
The calculation puts the uncorrected formation energy at 820.8 meV/atom. The calculation puts the volume at 92 Å³ per cell. The energy above the most stable polymorph in this dataset is 0 meV per atom.

```
data_CuAuS3
_chemical_formula_sum 'Cu1 Au1 S3'
_space_group_name_H-M_alt 'P m -3 m'
_space_group_IT_number 221
_space_group_name_Hall '-P 4 2 3'
_cell_length_a 4.521
_cell_length_b 4.521
_cell_length_c 4.521
_cell_angle_alpha 90.00
_cell_angle_beta 90.00
_cell_angle_gamma 90.00
loop_
_atom_site_label
_atom_site_type_symbol
_atom_site_fract_x
_atom_site_fract_y
_atom_site_fract_z
Cu1 Cu 0.000 0.000 0.000
Au1 Au 0.500 0.500 0.500
S1 S 0.000 0.000 0.500
```

[5]
Compound: Pr2ZnCu2Pd5
Source: Alexandria via LeMat-Bulk
Functional: PBE-GGA
Structure: optimized geometry

Output
The calculation puts the volume at 358 Å³ per cell. The calculated formation energy is -562 meV per atom.

```
data_Pr2ZnCu2Pd5
_chemical_formula_sum 'Pr4 Zn2 Cu4 Pd10'
_space_group_name_H-M_alt 'P 4/m b m'
_space_group_IT_number 127
_space_group_name_Hall '-P 4 2ab'
_cell_length_a 9.556
_cell_length_b 9.556
_cell_length_c 3.923
_cell_angle_alpha 90.00
_cell_angle_beta 90.00
_cell_angle_gamma 90.00
loop_
_atom_site_label
_atom_site_type_symbol
_atom_site_fract_x
_atom_site_fract_y
_atom_site_fract_z
Pr1 Pr 0.178 0.322 0.000
Zn1 Zn 0.000 0.000 0.000
Cu1 Cu 0.120 0.620 0.000
Pd1 Pd 0.000 0.500 0.500
Pd2 Pd 0.065 0.797 0.500
```

[6]
Compound: MgCoSn2
Source: Alexandria via LeMat-Bulk
Functional: PBE-GGA
Structure: optimized geometry

Output
The calculation puts the volume at 78 Å³ per cell. The calculated formation energy is 16 meV per atom.

```
data_MgCoSn2
_chemical_formula_sum 'Mg1 Co1 Sn2'
_space_group_name_H-M_alt 'P 4/m m m'
_space_group_IT_number 123
_space_group_name_Hall '-P 4 2'
_cell_length_a 3.152
_cell_length_b 3.152
_cell_length_c 7.879
_cell_angle_alpha 90.00
_cell_angle_beta 90.00
_cell_angle_gamma 90.00
loop_
_atom_site_label
_atom_site_type_symbol
_atom_site_fract_x
_atom_site_fract_y
_atom_site_fract_z
Mg1 Mg 0.000 0.000 0.000
Co1 Co 0.000 0.000 0.500
Sn1 Sn 0.500 0.500 0.296
```

[7]
Compound: ThSeCl
Source: Alexandria via LeMat-Bulk
Functional: PBE-GGA
Structure: optimized geometry

Output
The calculation puts the uncorrected formation energy at -1700.2 meV/atom. The calculation puts the volume at 145 Å³ per cell. The energy above the most stable polymorph in this dataset is 80 meV per atom.

```
data_ThSeCl
_chemical_formula_sum 'Th2 Se2 Cl2'
_space_group_name_H-M_alt 'P 4/n m m'
_space_group_IT_number 129
_cell_length_a 4.256
_cell_length_b 4.256
_cell_length_c 7.981
_cell_angle_alpha 90.00
_cell_angle_beta 90.00
_cell_angle_gamma 90.00
loop_
_space_group_symop_operation_xyz
'x,y,z'
'-x,-y,-z'
'-y+1/2,x,z'
'y+1/2,-x,-z'
'-x+1/2,-y+1/2,z'
'x+1/2,y+1/2,-z'
'y,-x+1/2,z'
'-y,x+1/2,-z'
'x+1/2,-y,-z'
'-x+1/2,y,z'
'-y,-x,-z'
'y,x,z'
'-x,y+1/2,-z'
'x,-y+1/2,z'
'y+1/2,x+1/2,-z'
'-y+1/2,-x+1/2,z'
loop_
_atom_site_label
_atom_site_type_symbol
_atom_site_fract_x
_atom_site_fract_y
_atom_site_fract_z
Th1 Th 0.250 0.250 0.226
Se1 Se 0.250 0.250 0.851
Cl1 Cl 0.250 0.750 0.500
```